[1]
The following is a DFT calculation (PBE) of an optimized crystal structure of ZrTaAl3.

a = 4.885 Å, b = 4.885 Å, c = 4.885 Å
α = 90.00°, β = 90.00°, γ = 90.00°
Atoms (fractional coordinates):
Zr: 0.000 0.000 0.000
Ta: 0.500 0.500 0.500
Al: 0.000 0.000 0.500
Al: 0.000 0.500 0.000
Al: 0.500 0.000 0.000

## Properties
Its space group is No. 221. As for the formation energy from the elements: 1.473 eV per atom.

[2]
The following is a DFT calculation (PBE) of an optimized crystal structure of Zr2Ta2Al.

a = 7.194 Å, b = 7.194 Å, c = 3.981 Å
α = 90.00°, β = 90.00°, γ = 90.00°
Atoms (fractional coordinates):
Zr: 0.171 0.329 0.000
Zr: 0.329 0.829 0.000
Zr: 0.671 0.171 0.000
Zr: 0.829 0.671 0.000
Ta: 0.132 0.632 0.500
Ta: 0.368 0.132 0.500
Ta: 0.632 0.868 0.500
Ta: 0.868 0.368 0.500
Al: 0.000 0.000 0.500
Al: 0.500 0.500 0.500

## Properties
Its space group is No. 127. As for the formation energy from the elements: 0.094 eV per atom.